Density functional theory data (GGA-PBE) for crystalline Tb2AlOs3 at its relaxed geometry.

Calculated values
Space group   No. 166
Formation energy from the elements   -0.358 eV per atom
Crystal system   trigonal

Geometry as POSCAR:
```
Tb2AlOs3
1.0
-3.1545 4.2743 1.0302
1.4692 -1.1130 -5.0877
-1.8962 -4.9527 0.5391
Tb Al Os
2 1 3
Cartesian
-2.0819 2.1494 -1.0709
-1.4996 -3.9408 -2.4475
0.0000 0.0000 0.0000
-1.7908 -0.8957 -1.7592
-0.9481 -2.4763 0.2696
-2.5254 -0.3392 0.7847
```